Record 1
This record from Alexandria describes a geometry-optimized Cs3Sm2YO6 structure. The functional is PBE-GGA.

Cell: 6.277 6.277 7.230 Å, 98.32 98.32 120.00°
Positions (direct):
O (0.728, 0.728, 0.167)
O (0.617, 0.944, 0.833)
O (0.944, 0.617, 0.833)
O (0.272, 0.272, 0.833)
O (0.056, 0.383, 0.167)
O (0.383, 0.056, 0.167)
Y (0.000, 0.000, 0.000)
Sm (0.667, 0.333, 0.000)
Sm (0.333, 0.667, 0.000)
Cs (0.166, 0.834, 0.500)
Cs (0.834, 0.166, 0.500)
Cs (0.500, 0.500, 0.500)

crystal system = monoclinic
symmetry = C2/m (12)
DOS at the Fermi energy = 0.00 states/eV/cell
total magnetic moment = 0.0 μB/cell
raw total energy = -79.02 eV for the cell shown


Record 2
This record from Alexandria describes a geometry-optimized Cs2SmZn2O4 structure. The functional is PBE-GGA.

Cell: 3.526 7.207 7.555 Å, 106.50 103.49 90.00°
Positions (direct):
Cs (0.133, 0.563, 0.266)
Cs (0.867, 0.437, 0.734)
O (0.548, 0.831, 0.096)
O (0.831, 0.824, 0.663)
O (0.169, 0.176, 0.337)
O (0.452, 0.169, 0.904)
Sm (0.000, 0.000, 0.000)
Zn (0.680, 0.032, 0.360)
Zn (0.320, 0.968, 0.640)

crystal system = monoclinic
symmetry = C2/m (12)
DOS at the Fermi energy = 1.75 states/eV/cell
total magnetic moment = 0.0 μB/cell
raw total energy = -43.78 eV for the cell shown


Record 3
This record from Alexandria describes a geometry-optimized Cs4SnO4 structure. The functional is PBE-GGA.

Cell: 7.469 11.904 11.908 Å, 68.95 90.00 90.00°
Positions (direct):
Cs (0.111, 0.408, 0.156)
Cs (0.389, 0.908, 0.156)
Cs (0.591, 0.306, 0.056)
Cs (0.091, 0.194, 0.944)
Cs (0.909, 0.806, 0.056)
Cs (0.409, 0.694, 0.944)
Cs (0.674, 0.703, 0.429)
Cs (0.654, 0.891, 0.636)
Cs (0.154, 0.609, 0.364)
Cs (0.326, 0.297, 0.571)
Cs (0.174, 0.797, 0.571)
Cs (0.346, 0.109, 0.364)
Cs (0.846, 0.391, 0.636)
Cs (0.889, 0.592, 0.844)
Cs (0.826, 0.203, 0.429)
Cs (0.611, 0.092, 0.844)
O (0.025, 0.857, 0.297)
O (0.511, 0.345, 0.777)
O (0.975, 0.143, 0.703)
O (0.243, 0.970, 0.916)
O (0.680, 0.980, 0.369)
O (0.257, 0.470, 0.916)
O (0.525, 0.643, 0.703)
O (0.743, 0.530, 0.084)
O (0.475, 0.357, 0.297)
O (0.011, 0.155, 0.223)
O (0.489, 0.655, 0.223)
O (0.989, 0.845, 0.777)
O (0.320, 0.020, 0.631)
O (0.820, 0.480, 0.369)
O (0.180, 0.520, 0.631)
O (0.757, 0.030, 0.084)
Sn (0.129, 0.994, 0.757)
Sn (0.371, 0.494, 0.757)
Sn (0.629, 0.506, 0.243)
Sn (0.871, 0.006, 0.243)

crystal system = monoclinic
offset from the most stable computed form = 0.0 meV/atom
symmetry = P2_1/c (14)
DOS at the Fermi energy = 0.00 states/eV/cell
total magnetic moment = 0.1 μB/cell
raw total energy = -161.46 eV for the cell shown


Record 4
This record from Alexandria describes a geometry-optimized Cs5Sn2O6 structure. The functional is PBE-GGA.

Cell: 7.228 7.228 15.858 Å, 83.44 83.44 68.34°
Positions (direct):
Cs (0.578, 0.422, 0.250)
Cs (0.108, 0.193, 0.794)
Cs (0.781, 0.314, 0.512)
Cs (0.314, 0.781, 0.012)
Cs (0.219, 0.686, 0.488)
Cs (0.892, 0.807, 0.206)
Cs (0.193, 0.108, 0.294)
Cs (0.422, 0.578, 0.750)
Cs (0.807, 0.892, 0.706)
Cs (0.686, 0.219, 0.988)
Sn (0.357, 0.095, 0.576)
Sn (0.643, 0.905, 0.424)
Sn (0.905, 0.643, 0.924)
Sn (0.095, 0.357, 0.076)
O (0.561, 0.747, 0.350)
O (0.439, 0.253, 0.650)
O (0.597, 0.823, 0.554)
O (0.972, 0.883, 0.883)
O (0.177, 0.403, 0.946)
O (0.883, 0.972, 0.383)
O (0.747, 0.561, 0.850)
O (0.028, 0.117, 0.117)
O (0.117, 0.028, 0.617)
O (0.253, 0.439, 0.150)
O (0.823, 0.597, 0.054)
O (0.403, 0.177, 0.446)

crystal system = monoclinic
symmetry = C2/c (15)
DOS at the Fermi energy = 5.95 states/eV/cell
total magnetic moment = 0.0 μB/cell
raw total energy = -120.68 eV for the cell shown


Record 5
This record from Alexandria describes a geometry-optimized CsSn2O structure. The functional is PBE-GGA.

Cell: 6.113 6.113 8.675 Å, 69.37 69.37 90.00°
Positions (direct):
Sn (0.875, 0.625, 0.750)
Sn (0.375, 0.625, 0.250)
Sn (0.375, 0.625, 0.750)
Sn (0.375, 0.125, 0.250)
O (0.250, 0.750, 0.500)
O (0.500, 0.500, 0.000)
Cs (0.000, 0.000, 0.000)
Cs (0.750, 0.250, 0.500)

crystal system = tetragonal
symmetry = I4_1/amd (141)
DOS at the Fermi energy = 11.09 states/eV/cell
total magnetic moment = 0.0 μB/cell
raw total energy = -29.88 eV for the cell shown


Record 6
This record from Alexandria describes a geometry-optimized Cs4SnO4 structure. The functional is PBE-GGA.

Cell: 6.000 7.159 7.159 Å, 79.89 65.22 65.22°
Positions (direct):
O (0.212, 0.721, 0.854)
O (0.788, 0.279, 0.146)
O (0.066, 0.146, 0.721)
O (0.934, 0.854, 0.279)
Cs (0.381, 0.815, 0.423)
Cs (0.619, 0.185, 0.577)
Cs (0.196, 0.423, 0.185)
Cs (0.804, 0.577, 0.815)
Sn (0.000, 0.000, 0.000)

crystal system = tetragonal
offset from the most stable computed form = 189.1 meV/atom
symmetry = I4/m (87)
total magnetic moment = 0.0 μB/cell
raw total energy = -38.66 eV for the cell shown


- Which of these has the highest raw total energy?
  CsSn2O


What did the sixth record say?
This record from Alexandria describes a geometry-optimized Cs4SnO4 structure. The functional is PBE-GGA.

Cell: 6.000 7.159 7.159 Å, 79.89 65.22 65.22°
Positions (direct):
O (0.212, 0.721, 0.854)
O (0.788, 0.279, 0.146)
O (0.066, 0.146, 0.721)
O (0.934, 0.854, 0.279)
Cs (0.381, 0.815, 0.423)
Cs (0.619, 0.185, 0.577)
Cs (0.196, 0.423, 0.185)
Cs (0.804, 0.577, 0.815)
Sn (0.000, 0.000, 0.000)

crystal system = tetragonal
offset from the most stable computed form = 189.1 meV/atom
symmetry = I4/m (87)
total magnetic moment = 0.0 μB/cell
raw total energy = -38.66 eV for the cell shown


- Which formula does entry 3 have?
  Cs4SnO4


- Among the records above, which one has the highest raw total energy?
  CsSn2O